Compound: Mg2CdTe3
Source: the Alexandria database
Functional: GGA-PBE
Structure: optimized geometry

```
Mg2CdTe3
1.0
4.006 -6.942 0.000
4.006 6.942 0.000
-2.679 0.000 7.556
Mg Cd Te
4 2 6
Direct
0.083 0.917 0.500
0.247 0.748 0.000
0.748 0.247 0.500
0.917 0.083 0.000
0.414 0.583 0.501
0.583 0.414 0.001
0.035 0.202 0.373
0.202 0.035 0.873
0.372 0.878 0.373
0.542 0.712 0.880
0.712 0.542 0.380
0.878 0.372 0.873
```

Summary:
The total magnetization is 0.00 μB per formula unit. The density of states at the Fermi level comes out at 0.00 states/eV/f.u. The volume comes out at 420.3 Å³/cell. Its density is 4.3 g/cm³. For the uncorrected formation energy, the calculation gives -737 meV/atom.